A relaxed structure of Zr5Tc, computed with PBE.

Calculated values
Offset from the most stable computed form (meV per atom): 927
Size of the total moment (μB per formula unit): 0.0
Raw total energy (eV/cell): -48.31

Cell and atoms, written as CIF:
```
data_Zr5Tc
_cell_length_a 5.4480
_cell_length_b 5.4480
_cell_length_c 5.3983
_cell_angle_alpha 90.00
_cell_angle_beta 90.00
_cell_angle_gamma 120.00
_space_group_name_H-M_alt 'P 6/m m m'
_space_group_IT_number 191
_space_group_name_Hall '-P 6 2'
loop_
_atom_site_label
_atom_site_fract_x
_atom_site_fract_y
_atom_site_fract_z
Zr1 0.0000 0.5000 0.0000
Zr2 0.3333 0.6667 0.5000
Tc1 0.0000 0.0000 0.5000
```